Entry 1:
# Ac2BeSnPt6 | Alexandria via LeMat-Bulk | PBE | relaxed
data_Ac2BeSnPt6
_chemical_formula_sum 'Ac8 Be4 Sn4 Pt24'
_symmetry_space_group_name_H-M 'F m -3 m'
_symmetry_Int_Tables_number 225
_symmetry_space_group_name_Hall '-F 4 2 3'
_cell_length_a 9.5300
_cell_length_b 9.5300
_cell_length_c 9.5300
_cell_angle_alpha 90.00
_cell_angle_beta 90.00
_cell_angle_gamma 90.00
loop_
_atom_site_label
_atom_site_type_symbol
_atom_site_fract_x
_atom_site_fract_y
_atom_site_fract_z
_atom_site_occupancy
Ac1 Ac 0.2500 0.2500 0.2500 1
Be1 Be 0.0000 0.0000 0.0000 1
Sn1 Sn 0.0000 0.0000 0.5000 1
Pt1 Pt 0.0000 0.0000 0.2268 1
# - uncorrected energy (eV per atom) = -5.877
# - D(E_F) (states/eV per atom) = 0.4687
# - energy of formation from the pure elements (eV per atom) = -0.6578

Entry 2:
# Y3Zr | Alexandria via LeMat-Bulk | PBE | relaxed
data_Y3Zr
_chemical_formula_sum 'Y6 Zr2'
_symmetry_space_group_name_H-M 'P m m n'
_symmetry_Int_Tables_number 59
_cell_length_a 5.5112
_cell_length_b 7.0421
_cell_length_c 6.1425
_cell_angle_alpha 90.00
_cell_angle_beta 90.00
_cell_angle_gamma 90.00
loop_
_symmetry_equiv_pos_as_xyz
'x,y,z'
'-x,-y,-z'
'-x+1/2,-y+1/2,z'
'x+1/2,y+1/2,-z'
'x+1/2,-y,-z'
'-x+1/2,y,z'
'-x,y+1/2,-z'
'x,-y+1/2,z'
loop_
_atom_site_label
_atom_site_type_symbol
_atom_site_fract_x
_atom_site_fract_y
_atom_site_fract_z
_atom_site_occupancy
Y1 Y 0.2500 0.0004 0.1688 1
Y2 Y 0.2500 0.2500 0.6490 1
Zr1 Zr 0.2500 0.7500 0.6697 1
# - uncorrected energy (eV per atom) = -6.908
# - E above lowest polymorph (meV per atom) = 6
# - D(E_F) (states/eV per atom) = 1.9969
# - energy of formation from the pure elements (eV per atom) = 0.0770

Entry 3:
# TbPuC | Alexandria via LeMat-Bulk | PBE | relaxed
data_TbPuC
_chemical_formula_sum 'Tb4 Pu4 C4'
_symmetry_space_group_name_H-M 'F -4 3 m'
_symmetry_Int_Tables_number 216
_symmetry_space_group_name_Hall 'F -4 2 3'
_cell_length_a 6.1372
_cell_length_b 6.1372
_cell_length_c 6.1372
_cell_angle_alpha 90.00
_cell_angle_beta 90.00
_cell_angle_gamma 90.00
loop_
_atom_site_label
_atom_site_type_symbol
_atom_site_fract_x
_atom_site_fract_y
_atom_site_fract_z
_atom_site_occupancy
Tb1 Tb 0.0000 0.0000 0.0000 1
Pu1 Pu 0.0000 0.0000 0.5000 1
C1 C 0.2500 0.2500 0.7500 1
# - uncorrected energy (eV per atom) = -9.083
# - E above lowest polymorph (meV per atom) = 382
# - D(E_F) (states/eV per atom) = 1.7255
# - energy of formation from the pure elements (eV per atom) = 0.3125

Entry 4:
# Ce3Zn7Ni4 | Alexandria via LeMat-Bulk | PBE | relaxed
data_Ce3Zn7Ni4
_chemical_formula_sum 'Ce6 Zn14 Ni8'
_symmetry_space_group_name_H-M 'C 1 2/m 1'
_symmetry_Int_Tables_number 12
_symmetry_space_group_name_Hall '-C 2y'
_cell_length_a 14.8196
_cell_length_b 4.1616
_cell_length_c 9.1840
_cell_angle_alpha 90.00
_cell_angle_beta 122.98
_cell_angle_gamma 90.00
loop_
_atom_site_label
_atom_site_type_symbol
_atom_site_fract_x
_atom_site_fract_y
_atom_site_fract_z
_atom_site_occupancy
Ce1 Ce 0.0000 0.0000 0.0000 1
Ce2 Ce 0.1997 0.5000 0.7040 1
Zn1 Zn 0.0000 0.0000 0.5000 1
Zn2 Zn 0.0072 0.5000 0.2974 1
Zn3 Zn 0.1457 0.0000 0.4172 1
Zn4 Zn 0.1766 0.5000 0.0128 1
Ni1 Ni 0.1124 0.0000 0.8250 1
Ni2 Ni 0.1668 0.5000 0.2767 1
# - uncorrected energy (eV per atom) = -3.894
# - D(E_F) (states/eV per atom) = 1.0575
# - energy of formation from the pure elements (eV per atom) = -0.3341

Entry 5:
# PuMg2Pt3 | Alexandria via LeMat-Bulk | PBE | relaxed
data_PuMg2Pt3
_chemical_formula_sum 'Pu1 Mg2 Pt3'
_symmetry_space_group_name_H-M 'P 4/m m m'
_symmetry_Int_Tables_number 123
_symmetry_space_group_name_Hall '-P 4 2'
_cell_length_a 3.2702
_cell_length_b 3.2702
_cell_length_c 9.9945
_cell_angle_alpha 90.00
_cell_angle_beta 90.00
_cell_angle_gamma 90.00
loop_
_atom_site_label
_atom_site_type_symbol
_atom_site_fract_x
_atom_site_fract_y
_atom_site_fract_z
_atom_site_occupancy
Pu1 Pu 0.0000 0.0000 0.0000 1
Mg1 Mg 0.0000 0.0000 0.3480 1
Pt1 Pt 0.5000 0.5000 0.1948 1
Pt2 Pt 0.5000 0.5000 0.5000 1
# - uncorrected energy (eV per atom) = -6.726
# - D(E_F) (states/eV per atom) = 1.7170
# - energy of formation from the pure elements (eV per atom) = -0.7853

Entry 6:
# Ac2DyGe | Alexandria via LeMat-Bulk | PBE | relaxed
data_Ac2DyGe
_chemical_formula_sum 'Ac2 Dy1 Ge1'
_symmetry_space_group_name_H-M 'P 4/m m m'
_symmetry_Int_Tables_number 123
_symmetry_space_group_name_Hall '-P 4 2'
_cell_length_a 5.1394
_cell_length_b 5.1394
_cell_length_c 4.8448
_cell_angle_alpha 90.00
_cell_angle_beta 90.00
_cell_angle_gamma 90.00
loop_
_atom_site_label
_atom_site_type_symbol
_atom_site_fract_x
_atom_site_fract_y
_atom_site_fract_z
_atom_site_occupancy
Ac1 Ac 0.0000 0.5000 0.0000 1
Dy1 Dy 0.0000 0.0000 0.5000 1
Ge1 Ge 0.5000 0.5000 0.5000 1
# - uncorrected energy (eV per atom) = -4.544
# - E above lowest polymorph (meV per atom) = 0
# - D(E_F) (states/eV per atom) = 1.1485
# - energy of formation from the pure elements (eV per atom) = -0.1851

Entry 7:
# Tc2SbAs | Alexandria via LeMat-Bulk | PBE | relaxed
data_Tc2SbAs
_chemical_formula_sum 'Tc4 Sb2 As2'
_symmetry_space_group_name_H-M 'C 1 m 1'
_symmetry_Int_Tables_number 8
_symmetry_space_group_name_Hall 'C -2y'
_cell_length_a 8.7701
_cell_length_b 3.1990
_cell_length_c 5.2324
_cell_angle_alpha 90.00
_cell_angle_beta 107.07
_cell_angle_gamma 90.00
loop_
_atom_site_label
_atom_site_type_symbol
_atom_site_fract_x
_atom_site_fract_y
_atom_site_fract_z
_atom_site_occupancy
Tc1 Tc 0.0000 0.0000 0.0000 1
Tc2 Tc 0.2383 0.0000 0.6238 1
Sb1 Sb 0.2585 0.5000 0.2047 1
As1 As 0.0214 0.5000 0.6456 1
# - formation energy without anion corrections (eV/atom) = 0.0262
# - uncorrected energy (eV per atom) = -7.350
# - E above lowest polymorph (meV per atom) = 20
# - D(E_F) (states/eV per atom) = 0.4700

Entry 8:
# Nd8Al2Bi | Alexandria via LeMat-Bulk | PBE | relaxed
data_Nd8Al2Bi
_chemical_formula_sum 'Nd16 Al4 Bi2'
_symmetry_space_group_name_H-M 'C 1 2/m 1'
_symmetry_Int_Tables_number 12
_symmetry_space_group_name_Hall '-C 2y'
_cell_length_a 17.6044
_cell_length_b 5.0340
_cell_length_c 8.1431
_cell_angle_alpha 90.00
_cell_angle_beta 110.21
_cell_angle_gamma 90.00
loop_
_atom_site_label
_atom_site_type_symbol
_atom_site_fract_x
_atom_site_fract_y
_atom_site_fract_z
_atom_site_occupancy
Nd1 Nd 0.0449 0.0000 0.2352 1
Nd2 Nd 0.1050 0.5000 0.9580 1
Nd3 Nd 0.1667 0.0000 0.7456 1
Nd4 Nd 0.1759 0.5000 0.4281 1
Al1 Al 0.2141 0.0000 0.1707 1
Bi1 Bi 0.0000 0.5000 0.5000 1
# - uncorrected energy (eV per atom) = -4.758
# - D(E_F) (states/eV per atom) = 1.2103
# - energy of formation from the pure elements (eV per atom) = -0.2573

- The highest D(E_F) belongs to which entry?
  Y3Zr

- Among the records above, which one has the lowest D(E_F)?
  Ac2BeSnPt6

- Among the records above, which one has the lowest uncorrected energy?
  TbPuC

- Which value of D(E_F) does entry 7 give?
  0.4700 states/eV per atom